# 1
Material: Ce3Co2Si4
Method: DFT, PBE
State: relaxed

The structure in POSCAR format:
```
Ce3Co2Si4
1.0
4.017 0.000 0.000
-2.009 5.482 -0.114
0.000 -2.371 7.550
Co Ce Si
2 3 4
direct
0.702 0.404 0.364
0.298 0.596 0.636
0.394 0.789 0.321
0.000 0.000 0.000
0.606 0.211 0.679
0.113 0.226 0.392
0.887 0.774 0.608
0.722 0.443 0.077
0.278 0.557 0.923
```

Summary:
Formation energy (no corrections) in eV per atom: -0.708
Calculated volume in A^3/atom: 18.4
Fermi-level density of states in states/eV/cell: 10.65
Total energy in eV per atom: -6.68

---

# 2
Material: NiCl5
Method: DFT, PBE
State: relaxed

The structure in POSCAR format:
```
NiCl5
1.0
2.402 -0.402 -5.857
5.002 -0.572 -3.859
1.759 -8.323 -2.998
Cl Ni
5 1
direct
0.330 0.330 0.499
0.093 0.093 0.500
0.344 0.344 0.000
0.677 0.677 0.001
0.011 0.011 0.001
0.711 0.711 0.499
```

Summary:
Formation energy (no corrections) in eV per atom: -0.042
ΔE to the lowest computed polymorph in meV/atom: 185
Calculated volume in A^3/atom: 26.9
Fermi-level density of states in states/eV/cell: 3.96
Total energy in eV per atom: -2.54

---

# 3
Material: As2PbO8
Method: DFT, PBE
State: relaxed

The structure in POSCAR format:
```
As2PbO8
1.0
5.601 0.181 0.223
2.501 8.409 0.065
2.621 3.118 7.585
As O Pb
4 16 2
direct
0.145 0.976 0.722
0.393 0.432 0.794
0.607 0.568 0.206
0.855 0.024 0.278
0.879 0.931 0.712
0.629 0.192 0.193
0.415 0.228 0.812
0.794 0.410 0.351
0.206 0.590 0.649
0.245 0.157 0.557
0.585 0.772 0.188
0.700 0.485 0.699
0.371 0.808 0.807
0.013 0.935 0.078
0.300 0.515 0.301
0.755 0.843 0.443
0.258 0.459 0.995
0.987 0.065 0.922
0.121 0.069 0.288
0.742 0.541 0.005
0.205 0.308 0.277
0.795 0.692 0.723
```

Summary:
Formation energy (no corrections) in eV per atom: -0.749
Calculated volume in A^3/atom: 15.9
Fermi-level density of states in states/eV/cell: 10.82
Total energy in eV per atom: -5.54

---

# 4
Material: TlCuSn
Method: DFT, PBE
State: relaxed

The structure in POSCAR format:
```
TlCuSn
1.0
-0.024 -4.648 0.164
4.876 -0.173 -4.392
3.103 0.107 3.458
Tl Sn Cu
2 2 2
direct
0.309 0.566 0.283
0.309 0.065 0.283
0.809 0.065 0.783
0.809 0.565 0.782
0.809 0.815 0.283
0.309 0.315 0.783
```

Summary:
Formation energy from the elements in eV/atom: 0.122
Calculated volume in A^3/atom: 23.6
Fermi-level density of states in states/eV/cell: 2.72
Total energy in eV per atom: -3.37